A plane-wave DFT calculation with PBE was carried out for a geometry-optimized ScZnCuAs structure.

Cell: 6.4585 6.4585 6.4585 Å, 90.00 90.00 90.00°
Fractional coordinates of all 16 atoms:
Sc 0.0000 0.0000 0.0000
Sc 0.0000 0.5000 0.5000
Sc 0.5000 0.0000 0.5000
Sc 0.5000 0.5000 0.0000
Zn 0.2500 0.2500 0.7500
Zn 0.2500 0.7500 0.2500
Zn 0.7500 0.2500 0.2500
Zn 0.7500 0.7500 0.7500
Cu 0.2500 0.2500 0.2500
Cu 0.2500 0.7500 0.7500
Cu 0.7500 0.2500 0.7500
Cu 0.7500 0.7500 0.2500
As 0.0000 0.0000 0.5000
As 0.0000 0.5000 0.0000
As 0.5000 0.0000 0.0000
As 0.5000 0.5000 0.5000

Theoretical density (g/cm3): 6.14
Polymorph energy (0 for the lowest one) (meV/atom): 108
Magnetization (μB/f.u.): 0.0
Final energy (eV per atom): -4.1078

A plane-wave DFT calculation with PBE was carried out for a geometry-optimized Dy2Ho2CICl4 structure.

Cell: 8.6759 8.6759 8.4287 Å, 103.63 103.63 25.25°
Fractional coordinates of all 10 atoms:
Dy 0.1448 0.1448 0.0754
Dy 0.8552 0.8552 0.9246
Ho 0.4991 0.4991 0.1908
Ho 0.5009 0.5009 0.8092
C 0.0000 0.0000 0.0000
I 0.0000 0.0000 0.5000
Cl 0.3291 0.3291 0.1454
Cl 0.3350 0.3350 0.6883
Cl 0.6650 0.6650 0.3117
Cl 0.6709 0.6709 0.8546

Theoretical density (g/cm3): 5.92
Magnetization (μB/f.u.): 0.1
Final energy (eV per atom): -5.2256

A plane-wave DFT calculation with PBE was carried out for a geometry-optimized CsNiHg structure.

Cell: 7.4487 7.4487 7.4487 Å, 90.00 90.00 90.00°
Fractional coordinates of all 12 atoms:
Cs 0.0000 0.0000 0.0000
Cs 0.0000 0.5000 0.5000
Cs 0.5000 0.0000 0.5000
Cs 0.5000 0.5000 0.0000
Ni 0.2500 0.2500 0.2500
Ni 0.2500 0.7500 0.7500
Ni 0.7500 0.2500 0.7500
Ni 0.7500 0.7500 0.2500
Hg 0.0000 0.0000 0.5000
Hg 0.0000 0.5000 0.0000
Hg 0.5000 0.0000 0.0000
Hg 0.5000 0.5000 0.5000

Theoretical density (g/cm3): 6.30
Polymorph energy (0 for the lowest one) (meV/atom): 0
Magnetization (μB/f.u.): 0.7
Final energy (eV per atom): -1.6504